The following is a PBEsol calculation of AgH2Se2 after structural relaxation, from the Alexandria database.

Values from the calculation:
* SG: I4/mmm
* theoretical density: 6.84 g/cm³
* M_tot: 0.000 μB per cell
* E_tot: -15.3 eV for the cell shown

```
AgH2Se2
1.0
-0.724 0.837 -2.981
-3.086 -0.441 0.626
1.403 5.941 3.024
H Se Ag
2 2 1
Cartesian
-1.795 2.849 1.236
-0.614 3.488 -0.567
-0.356 4.347 1.307
-2.052 1.990 -0.639
0.000 0.000 0.000
```